This record from the Alexandria database describes an optimized crystal structure of NaAsPSe2. The functional is GGA-PBE.

Structure (CIF):
```
data_NaAsPSe2
_space_group_name_H-M_alt 'P 4/m m m'
_space_group_IT_number 123
_space_group_name_Hall '-P 4 2'
_cell_length_a 5.0877
_cell_length_b 5.0877
_cell_length_c 4.6900
_cell_angle_alpha 90.00
_cell_angle_beta 90.00
_cell_angle_gamma 90.00
loop_
_atom_site_label
_atom_site_fract_x
_atom_site_fract_y
_atom_site_fract_z
Na1 0.0000 0.0000 0.0000
As1 0.5000 0.5000 0.0000
P1 0.5000 0.5000 0.5000
Se1 0.0000 0.5000 0.5000
```

The value obtained for the energy relative to the elements, uncorrected is 125 meV/atom. The calculation puts the total energy at -3.54 eV per atom. The energy relative to the lowest polymorph listed for this composition is 0.000 eV/atom.

=====

This record from the Alexandria database describes an optimized crystal structure of NaAsP2Se8. The functional is GGA-PBE.

Structure (CIF):
```
data_NaAsP2Se8
_space_group_name_H-M_alt 'R -3'
_space_group_IT_number 148
_space_group_name_Hall '-R 3'
_cell_length_a 6.1355
_cell_length_b 6.1355
_cell_length_c 27.9373
_cell_angle_alpha 90.00
_cell_angle_beta 90.00
_cell_angle_gamma 120.00
loop_
_atom_site_label
_atom_site_fract_x
_atom_site_fract_y
_atom_site_fract_z
Na1 0.0000 0.0000 0.0000
As1 0.0000 0.0000 0.5000
P1 0.0000 0.0000 0.2511
Se1 0.0000 0.0000 0.3298
Se2 0.0020 0.2970 0.1062
```

The value obtained for the energy relative to the elements, uncorrected is -51 meV/atom. The calculation puts the total energy at -3.77 eV per atom.

=====

This record from the Alexandria database describes an optimized crystal structure of Na2AsPSe4. The functional is GGA-PBE.

Structure (CIF):
```
data_Na2AsPSe4
_space_group_name_H-M_alt 'P m n 21'
_space_group_IT_number 31
_cell_length_a 9.9168
_cell_length_b 7.5551
_cell_length_c 5.9767
_cell_angle_alpha 90.00
_cell_angle_beta 90.00
_cell_angle_gamma 90.00
loop_
_space_group_symop_operation_xyz
'x,y,z'
'-x+1/2,-y,z+1/2'
'-x,y,z'
'x+1/2,-y,z+1/2'
loop_
_atom_site_label
_atom_site_fract_x
_atom_site_fract_y
_atom_site_fract_z
Na1 0.2475 0.1643 0.0000
As1 0.0000 0.3168 0.5458
P1 0.0000 0.6833 0.0491
Se1 0.0000 0.3701 0.9477
Se2 0.0000 0.6494 0.4281
Se3 0.2420 0.7693 0.9923
```

The value obtained for the energy relative to the elements, uncorrected is -406 meV/atom. The calculation puts the total energy at -3.74 eV per atom.

=====

This record from the Alexandria database describes an optimized crystal structure of NaAsPSe2. The functional is GGA-PBE.

Structure (CIF):
```
data_NaAsPSe2
_space_group_name_H-M_alt 'P 4/m m m'
_space_group_IT_number 123
_space_group_name_Hall '-P 4 2'
_cell_length_a 5.0062
_cell_length_b 5.0062
_cell_length_c 5.0151
_cell_angle_alpha 90.00
_cell_angle_beta 90.00
_cell_angle_gamma 90.00
loop_
_atom_site_label
_atom_site_fract_x
_atom_site_fract_y
_atom_site_fract_z
Na1 0.0000 0.0000 0.0000
As1 0.0000 0.0000 0.5000
P1 0.5000 0.5000 0.5000
Se1 0.0000 0.5000 0.0000
```

The value obtained for the energy relative to the elements, uncorrected is 1241 meV/atom. The calculation puts the total energy at -2.43 eV per atom. The energy relative to the lowest polymorph listed for this composition is 1.115 eV/atom.

=====

This record from the Alexandria database describes an optimized crystal structure of NaYAsP2. The functional is GGA-PBE.

Structure (CIF):
```
data_NaYAsP2
_space_group_name_H-M_alt 'P 4/m m m'
_space_group_IT_number 123
_space_group_name_Hall '-P 4 2'
_cell_length_a 5.0192
_cell_length_b 5.0192
_cell_length_c 5.2242
_cell_angle_alpha 90.00
_cell_angle_beta 90.00
_cell_angle_gamma 90.00
loop_
_atom_site_label
_atom_site_fract_x
_atom_site_fract_y
_atom_site_fract_z
Na1 0.0000 0.0000 0.0000
Y1 0.5000 0.5000 0.0000
As1 0.5000 0.5000 0.5000
P1 0.0000 0.5000 0.5000
```

The calculation puts the total energy at -4.38 eV per atom.

=====

This record from the Alexandria database describes an optimized crystal structure of NaPaAs. The functional is GGA-PBE.

Structure (CIF):
```
data_NaPaAs
_space_group_name_H-M_alt 'A m m 2'
_space_group_IT_number 38
_cell_length_a 15.8224
_cell_length_b 3.3366
_cell_length_c 5.7761
_cell_angle_alpha 90.00
_cell_angle_beta 90.00
_cell_angle_gamma 90.00
loop_
_space_group_symop_operation_xyz
'x,y,z'
'-x,-y,z'
'-x,y,z'
'x,-y,z'
'x,y+1/2,z+1/2'
'-x,-y+1/2,z+1/2'
'-x,y+1/2,z+1/2'
'x,-y+1/2,z+1/2'
loop_
_atom_site_label
_atom_site_fract_x
_atom_site_fract_y
_atom_site_fract_z
Na1 0.1491 0.0000 0.0000
Pa1 0.3653 0.0000 0.6582
As1 0.0000 0.0000 0.6666
As2 0.5000 0.0000 0.9915
```

The calculation puts the total energy at -5.16 eV per atom.

=====

This record from the Alexandria database describes an optimized crystal structure of NaPa5As6. The functional is GGA-PBE.

Structure (CIF):
```
data_NaPa5As6
_space_group_name_H-M_alt 'C 1 2/m 1'
_space_group_IT_number 12
_cell_length_a 7.1059
_cell_length_b 12.3122
_cell_length_c 7.1030
_cell_angle_alpha 90.00
_cell_angle_beta 109.47
_cell_angle_gamma 90.00
loop_
_space_group_symop_operation_xyz
'x,y,z'
'-x,-y,-z'
'-x,y,-z'
'x,-y,z'
'x+1/2,y+1/2,z'
'-x+1/2,-y+1/2,-z'
'-x+1/2,y+1/2,-z'
'x+1/2,-y+1/2,z'
loop_
_atom_site_label
_atom_site_fract_x
_atom_site_fract_y
_atom_site_fract_z
Na1 0.0000 0.0000 0.0000
Pa1 0.0000 0.1630 0.5000
Pa2 0.0000 0.3326 0.0000
Pa3 0.0000 0.5000 0.5000
As1 0.2470 0.5000 0.2481
As2 0.2479 0.3323 0.7482
```

The calculation puts the total energy at -7.33 eV per atom.

=====

This record from the Alexandria database describes an optimized crystal structure of NaPaAs2Pd5. The functional is GGA-PBE.

Structure (CIF):
```
data_NaPaAs2Pd5
_space_group_name_H-M_alt 'P 4/m m m'
_space_group_IT_number 123
_space_group_name_Hall '-P 4 2'
_cell_length_a 4.5571
_cell_length_b 4.5571
_cell_length_c 9.9645
_cell_angle_alpha 90.00
_cell_angle_beta 90.00
_cell_angle_gamma 90.00
loop_
_atom_site_label
_atom_site_fract_x
_atom_site_fract_y
_atom_site_fract_z
Na1 0.0000 0.0000 0.0000
Pa1 0.0000 0.0000 0.5000
As1 0.5000 0.5000 0.2380
Pd1 0.0000 0.5000 0.3286
Pd2 0.5000 0.5000 0.0000
```

The calculation puts the total energy at -5.43 eV per atom.

=====

This record from the Alexandria database describes an optimized crystal structure of NaPm2PaAs4. The functional is GGA-PBE.

Structure (CIF):
```
data_NaPm2PaAs4
_space_group_name_H-M_alt 'P 1 2/m 1'
_space_group_IT_number 10
_cell_length_a 7.2209
_cell_length_b 4.2337
_cell_length_c 7.2546
_cell_angle_alpha 90.00
_cell_angle_beta 108.66
_cell_angle_gamma 90.00
loop_
_space_group_symop_operation_xyz
'x,y,z'
'-x,-y,-z'
'-x,y,-z'
'x,-y,z'
loop_
_atom_site_label
_atom_site_fract_x
_atom_site_fract_y
_atom_site_fract_z
Na1 0.0000 0.0000 0.0000
Pm1 0.0000 0.5000 0.5000
Pm2 0.5000 0.0000 0.5000
Pa1 0.5000 0.5000 0.0000
As1 0.2608 0.0000 0.7607
As2 0.2671 0.5000 0.2452
```

The calculation puts the total energy at -5.94 eV per atom.

=====

This record from the Alexandria database describes an optimized crystal structure of NaPr2PaAs4. The functional is GGA-PBE.

Structure (CIF):
```
data_NaPr2PaAs4
_space_group_name_H-M_alt 'P 1 2/m 1'
_space_group_IT_number 10
_cell_length_a 7.3012
_cell_length_b 4.2750
_cell_length_c 7.3068
_cell_angle_alpha 90.00
_cell_angle_beta 108.78
_cell_angle_gamma 90.00
loop_
_space_group_symop_operation_xyz
'x,y,z'
'-x,-y,-z'
'-x,y,-z'
'x,-y,z'
loop_
_atom_site_label
_atom_site_fract_x
_atom_site_fract_y
_atom_site_fract_z
Na1 0.0000 0.0000 0.0000
Pr1 0.0000 0.5000 0.5000
Pr2 0.5000 0.0000 0.5000
Pa1 0.5000 0.5000 0.0000
As1 0.2633 0.0000 0.7649
As2 0.2671 0.5000 0.2411
```

The calculation puts the total energy at -5.93 eV per atom.

=====

This record from the Alexandria database describes an optimized crystal structure of Na2PaAs2Rh. The functional is GGA-PBE.

Structure (CIF):
```
data_Na2PaAs2Rh
_space_group_name_H-M_alt 'P m c 21'
_space_group_IT_number 26
_cell_length_a 4.1020
_cell_length_b 8.7519
_cell_length_c 7.1849
_cell_angle_alpha 90.00
_cell_angle_beta 90.00
_cell_angle_gamma 90.00
loop_
_space_group_symop_operation_xyz
'x,y,z'
'-x,-y,z+1/2'
'-x,y,z'
'x,-y,z+1/2'
loop_
_atom_site_label
_atom_site_fract_x
_atom_site_fract_y
_atom_site_fract_z
Na1 0.0000 0.0859 0.0000
Na2 0.5000 0.1435 0.3421
Pa1 0.5000 0.4586 0.9584
As1 0.0000 0.3597 0.2464
As2 0.5000 0.1864 0.7314
Rh1 0.0000 0.3677 0.6526
```

The calculation puts the total energy at -5.45 eV per atom.

=====

This record from the Alexandria database describes an optimized crystal structure of NaPaAsS. The functional is GGA-PBE.

Structure (CIF):
```
data_NaPaAsS
_space_group_name_H-M_alt 'R 3 m'
_space_group_IT_number 160
_space_group_name_Hall 'R 3 -2"'
_cell_length_a 4.1177
_cell_length_b 4.1177
_cell_length_c 20.5448
_cell_angle_alpha 90.00
_cell_angle_beta 90.00
_cell_angle_gamma 120.00
loop_
_atom_site_label
_atom_site_fract_x
_atom_site_fract_y
_atom_site_fract_z
Na1 0.0000 0.0000 0.0000
Pa1 0.0000 0.0000 0.4998
As1 0.0000 0.0000 0.7570
S1 0.0000 0.0000 0.2390
```

The value obtained for the energy relative to the elements, uncorrected is -1091 meV/atom. The calculation puts the total energy at -5.99 eV per atom.

=====

What are the total moment values for these records? In order: 0.0 0.0 0.0 0.0 0.0 0.6 0.0 0.0 0.0 0.0 0.0 3.1 μB/cell.